DFT (GGA-PBE) results for a relaxed structure of Ba2NaI.

As for the relative energy among the computed polymorphs: 0.130 eV/atom. The value obtained for the density is 3.18 g cm⁻³. The crystal system is tetragonal. For the formation energy without anion corrections, the calculation gives -10.5 kcal/mol of atoms.

The space group is I-42d (No. 122) and the conventional cell measures 9.945, 9.945 and 8.962 Å, with angles of 90.00, 90.00 and 90.00 degrees. The inequivalent atoms are Ba at (0.221, 0.250, 0.125), Na at (0.000, 0.000, 0.500) and I at (0.000, 0.000, 0.000).

DFT (GGA-PBE) results for a relaxed structure of BaNaI2.

As for the relative energy among the computed polymorphs: 0.120 eV/atom. The value obtained for the density is 4.41 g cm⁻³. The crystal system is cubic. For the formation energy without anion corrections, the calculation gives -26.3 kcal/mol of atoms.

The space group is Fm-3m (No. 225) and the conventional cell measures 8.544, 8.544 and 8.544 Å, with angles of 90.00, 90.00 and 90.00 degrees. The inequivalent atoms are Ba at (0.000, 0.000, 0.000), Na at (0.000, 0.000, 0.500) and I at (0.250, 0.250, 0.250).

DFT (GGA-PBE) results for a relaxed structure of Ba2NaI.

As for the relative energy among the computed polymorphs: 0.100 eV/atom. The value obtained for the density is 3.25 g cm⁻³. The crystal system is trigonal. For the formation energy without anion corrections, the calculation gives -11.2 kcal/mol of atoms.

The space group is R-3m (No. 166, hexagonal axes) and the conventional cell measures 4.3581, 4.3581 and 39.5329 Å, with angles of 90.00, 90.00 and 120.00 degrees. The inequivalent atoms are Ba at (0.0000, 0.0000, 0.1006), Na at (0.0000, 0.0000, 0.0000) and I at (0.0000, 0.0000, 0.5000).

DFT (GGA-PBE) results for a relaxed structure of BaNa2I.

As for the relative energy among the computed polymorphs: 0.013 eV/atom. The value obtained for the density is 2.68 g cm⁻³. The crystal system is tetragonal. For the formation energy without anion corrections, the calculation gives -10.9 kcal/mol of atoms.

The space group is I-42d (No. 122) and the conventional cell measures 10.527, 10.527 and 6.938 Å, with angles of 90.00, 90.00 and 90.00 degrees. The inequivalent atoms are Ba at (0.000, 0.000, 0.000), Na at (0.196, 0.250, 0.625) and I at (0.000, 0.000, 0.500).

DFT (GGA-PBE) results for a relaxed structure of Ba6NaI12.

The value obtained for the density is 4.16 g cm⁻³. The crystal system is trigonal. For the formation energy without anion corrections, the calculation gives -38.1 kcal/mol of atoms.

The space group is R-3 (No. 148, hexagonal axes) and the conventional cell measures 15.3175, 15.3175 and 13.9636 Å, with angles of 90.00, 90.00 and 120.00 degrees. The inequivalent atoms are Ba at (0.0564, 0.7802, 0.1486), Na at (0.0000, 0.0000, 0.5000), I at (0.0379, 0.8201, 0.8954) and I at (0.0492, 0.8460, 0.3871).

DFT (GGA-PBE) results for a relaxed structure of BaNaNdI6.

The value obtained for the density is 4.09 g cm⁻³. The crystal system is trigonal. For the formation energy without anion corrections, the calculation gives -34.1 kcal/mol of atoms.

The space group is P-31c (No. 163) and the conventional cell measures 8.1744, 8.1744 and 14.9601 Å, with angles of 90.00, 90.00 and 120.00 degrees. The inequivalent atoms are Ba at (0.0000, 0.0000, 0.0000), Na at (0.3333, 0.6667, 0.2500), Nd at (0.3333, 0.6667, 0.7500) and I at (0.0099, 0.3612, 0.6298).

Record-wise DOS(E_F) values, in states/eV per atom: 0.26 0.54 1.04 0.97 0.44 0.00
Record-wise V values, in Å³/cell: 886.4 623.7 650.3 768.8 2837.3 865.7